*A*
A PBEsol-optimized structure of ScCo2Tc, computed with meta-GGA SCAN.

- density (g cm⁻³) = 8.034

Cell: 2.7073 2.7073 8.6352 Å, 80.98 80.98 60.00°
Element x y z (fractional)
Co  0.0036  0.0036  0.9891
Co  0.7429  0.7429  0.7712
Tc  0.2587  0.2587  0.2238
Sc  0.4947  0.4947  0.5159



*B*
A PBEsol-optimized structure of ScCo2Tc, computed with meta-GGA SCAN.

- density (g cm⁻³) = 8.153

Cell: 3.1495 4.0239 4.1918 Å, 90.00 90.00 90.00°
Element x y z (fractional)
Tc  0.0000  0.5000  0.5000
Co  0.0000  0.0000  0.0000
Co  0.5000  0.0000  0.5000
Sc  0.5000  0.5000  0.0000



According to the calculations, the structures order from most to least stable as *B*, *A*.



*A*
A PBEsol-optimized structure of ScCoW2, computed with meta-GGA SCAN.

- density (g cm⁻³) = 12.800

Cell: 3.1253 3.1253 6.2634 Å, 90.00 90.00 90.00°
Element x y z (fractional)
Sc  0.5000  0.5000  0.7388
Co  0.0000  0.0000  0.4827
W  0.5000  0.5000  0.2556
W  0.0000  0.0000  0.0229



*B*
A PBEsol-optimized structure of ScCoW2, computed with meta-GGA SCAN.

- density (g cm⁻³) = 12.936

Cell: 2.7159 2.7159 8.2062 Å, 90.00 90.00 90.00°
Element x y z (fractional)
W  0.0000  0.0000  0.0114
W  0.5000  0.5000  0.2872
Co  0.0000  0.0000  0.4858
Sc  0.5000  0.5000  0.7156



According to the calculations, the structures order from most to least stable as *A*, *B*.



*A*
A PBEsol-optimized structure of Y2ScCo, computed with meta-GGA SCAN.

- density (g cm⁻³) = 5.199

Cell: 3.2577 3.2577 8.4786 Å, 90.00 90.00 90.03°
Element x y z (fractional)
Y  0.0000  0.0000  0.0161
Y  0.5000  0.5000  0.6812
Co  0.0000  0.0000  0.4819
Sc  0.5000  0.5000  0.3208



*B*
A PBEsol-optimized structure of Y2ScCo, computed with meta-GGA SCAN.

- density (g cm⁻³) = 5.221

Cell: 3.4010 5.0981 6.0075 Å, 115.10 106.44 90.00°
Element x y z (fractional)
Sc  0.8110  0.3110  0.6221
Y  0.0007  0.0006  0.0014
Y  0.1974  0.6974  0.3949
Co  0.4909  0.4910  0.9817



According to the calculations, the structures order from most to least stable as *A*, *B*.



*A*
A PBEsol-optimized structure of YSc2Co, computed with meta-GGA SCAN.

- density (g cm⁻³) = 4.789

Cell: 3.1613 3.1610 8.2498 Å, 90.00 90.00 90.00°
Element x y z (fractional)
Sc  0.0002  0.0000  0.1786
Sc  0.9998  0.0000  0.8214
Co  0.5000  0.5000  0.0000
Y  0.5000  0.5000  0.5000



*B*
A PBEsol-optimized structure of YSc2Co, computed with meta-GGA SCAN.

- density (g cm⁻³) = 4.621

Cell: 3.1443 3.1443 10.1428 Å, 81.08 81.08 60.00°
Element x y z (fractional)
Y  0.5000  0.5000  0.5000
Co  0.0000  0.0000  0.0000
Sc  0.0744  0.0744  0.7768
Sc  0.9256  0.9256  0.2232



*C*
A PBEsol-optimized structure of YSc2Co, computed with meta-GGA SCAN.

- density (g cm⁻³) = 4.787

Cell: 3.3009 4.9669 5.8474 Å, 115.13 106.39 90.00°
Element x y z (fractional)
Sc  0.6961  0.6961  0.3923
Sc  0.3039  0.3039  0.6077
Y  0.5000  0.0000  0.0000
Co  0.0000  0.5000  0.0000



According to the calculations, the structures order from most to least stable as *A*, *C*, *B*.



*A*
A PBEsol-optimized structure of YScCo2, computed with meta-GGA SCAN.

- density (g cm⁻³) = 6.493

Cell: 4.4987 4.4987 4.4987 Å, 60.00 60.00 60.00°
Element x y z (fractional)
Sc  0.0000  0.0000  0.0000
Y  0.5000  0.5000  0.5000
Co  0.7500  0.7500  0.7500
Co  0.2500  0.2500  0.2500



*B*
A PBEsol-optimized structure of YScCo2, computed with meta-GGA SCAN.

- density (g cm⁻³) = 6.495

Cell: 3.1763 3.1763 6.3794 Å, 90.00 90.00 90.00°
Element x y z (fractional)
Co  0.0000  0.0000  0.2290
Co  0.0000  0.0000  0.7710
Sc  0.5000  0.5000  0.0000
Y  0.5000  0.5000  0.5000



According to the calculations, the structures order from most to least stable as *B*, *A*.



*A*
A PBEsol-optimized structure of CoSe3, computed with meta-GGA SCAN.

- density (g cm⁻³) = 7.048

Cell: 3.4082 3.4082 7.2021 Å, 76.31 76.31 60.00°
Element x y z (fractional)
Se  0.5000  0.5000  0.5000
Se  0.2711  0.2711  0.1867
Se  0.7289  0.7289  0.8133
Co  0.0000  0.0000  0.0000



*B*
A PBEsol-optimized structure of CoSe3, computed with meta-GGA SCAN.

- density (g cm⁻³) = 7.136

Cell: 3.4560 4.7617 4.7617 Å, 118.55 90.00 90.00°
Element x y z (fractional)
Se  0.0000  0.5000  0.5000
Se  0.5000  0.8077  0.1923
Se  0.5000  0.1923  0.8077
Co  0.0000  0.0000  0.0000



*C*
A PBEsol-optimized structure of CoSe3, computed with meta-GGA SCAN.

- density (g cm⁻³) = 7.516

Cell: 3.0900 4.5988 4.5988 Å, 90.00 90.00 90.00°
Element x y z (fractional)
Se  0.5000  0.5000  0.0000
Se  0.0000  0.5000  0.5000
Se  0.5000  0.0000  0.5000
Co  0.0000  0.0000  0.0000



According to the calculations, the structures order from most to least stable as *B*, *A*, *C*.



*A*
A PBEsol-optimized structure of Co3Se4, computed with meta-GGA SCAN.

- density (g cm⁻³) = 6.332

Cell: 4.4543 4.4543 7.5186 Å, 90.00 90.00 120.00°
Element x y z (fractional)
Se  0.6667  0.3333  0.5000
Se  0.3333  0.6667  0.5000
Se  0.0000  0.0000  0.8079
Se  0.0000  0.0000  0.1921
Co  0.0000  0.5000  0.0000
Co  0.5000  0.5000  0.0000
Co  0.5000  0.0000  0.0000



*B*
A PBEsol-optimized structure of Co3Se4, computed with meta-GGA SCAN.

- density (g cm⁻³) = 7.650

Cell: 3.5220 6.0469 6.0214 Å, 117.91 107.00 90.00°
Element x y z (fractional)
Co  0.7630  0.7818  0.5260
Co  0.2370  0.2182  0.4740
Co  0.5000  0.5000  0.0000
Se  0.1339  0.4765  0.2678
Se  0.3799  0.0452  0.7598
Se  0.6201  0.9548  0.2402
Se  0.8661  0.5235  0.7322



*C*
A PBEsol-optimized structure of Co3Se4, computed with meta-GGA SCAN.

- density (g cm⁻³) = 7.215

Cell: 6.8450 6.8450 6.8450 Å, 60.00 60.00 60.00°
Element x y z (fractional)
Se  0.3678  0.3678  0.8967
Se  0.3533  0.8822  0.8822
Se  0.8822  0.3533  0.8822
Se  0.8967  0.3678  0.3678
Se  0.8822  0.8822  0.8822
Se  0.3678  0.3678  0.3678
Se  0.8822  0.8822  0.3533
Se  0.3678  0.8967  0.3678
Co  0.1250  0.6250  0.1250
Co  0.5000  0.5000  0.5000
Co  0.1250  0.1250  0.1250
Co  0.7500  0.7500  0.7500
Co  0.6250  0.1250  0.1250
Co  0.1250  0.1250  0.6250



According to the calculations, the structures order from most to least stable as *B*, *C*, *A*.



*A*
A PBEsol-optimized structure of Co2SiSe, computed with meta-GGA SCAN.

- density (g cm⁻³) = 7.723

Cell: 3.8873 4.1611 4.0499 Å, 119.12 90.00 117.85°
Element x y z (fractional)
Co  0.2642  0.5284  0.2642
Co  0.7358  0.4716  0.7358
Si  0.0000  0.0000  0.5000
Se  0.5000  0.0000  0.0000



*B*
A PBEsol-optimized structure of Co2SiSe, computed with meta-GGA SCAN.

- density (g cm⁻³) = 7.557

Cell: 2.9593 3.8558 4.9664 Å, 112.84 107.33 90.00°
Element x y z (fractional)
Co  0.7688  0.2688  0.5376
Co  0.9777  0.9777  0.9555
Se  0.4907  0.4907  0.9814
Si  0.2627  0.7627  0.5255



According to the calculations, the structures order from most to least stable as *A*, *B*.



*A*
A PBEsol-optimized structure of CoTcSe, computed with meta-GGA SCAN.

- density (g cm⁻³) = 8.765

Cell: 3.9833 3.9833 3.9833 Å, 60.00 60.00 60.00°
Element x y z (fractional)
Se  0.0000  0.0000  0.0000
Co  0.2500  0.2500  0.2500
Tc  0.5000  0.5000  0.5000



*B*
A PBEsol-optimized structure of CoTcSe, computed with meta-GGA SCAN.

- density (g cm⁻³) = 9.871

Cell: 2.9717 2.9717 4.9607 Å, 107.43 107.43 90.00°
Element x y z (fractional)
Co  0.0060  0.0060  0.0120
Tc  0.3275  0.3275  0.6550
Se  0.6665  0.6665  0.3330



According to the calculations, the structures order from most to least stable as *B*, *A*.



*A*
A PBEsol-optimized structure of ZnCo2Se, computed with meta-GGA SCAN.

- density (g cm⁻³) = 8.036

Cell: 6.4167 5.2456 6.4167 Å, 52.29 90.00 127.71°
Element x y z (fractional)
Co  0.0855  0.7500  0.8750
Co  0.3750  0.2500  0.0855
Co  0.6645  0.7500  0.3750
Co  0.8750  0.2500  0.6645
Se  0.7500  0.5000  0.7500
Se  0.0000  0.0000  0.0000
Zn  0.5000  0.0000  0.5000
Zn  0.2500  0.5000  0.2500



*B*
A PBEsol-optimized structure of ZnCo2Se, computed with meta-GGA SCAN.

- density (g cm⁻³) = 8.678

Cell: 2.8569 4.0168 4.7692 Å, 100.47 90.00 110.83°
Element x y z (fractional)
Se  0.0000  0.0000  0.5000
Co  0.7469  0.4937  0.7291
Co  0.2531  0.5063  0.2709
Zn  0.5000  0.0000  0.0000



*C*
A PBEsol-optimized structure of ZnCo2Se, computed with meta-GGA SCAN.

- density (g cm⁻³) = 8.861

Cell: 2.9166 4.0230 4.5520 Å, 103.02 108.68 90.00°
Element x y z (fractional)
Co  0.7697  0.3275  0.5394
Co  0.9873  0.9393  0.9745
Zn  0.2478  0.8202  0.4956
Se  0.4952  0.4129  0.9904



According to the calculations, the structures order from most to least stable as *C*, *B*, *A*.



*A*
A PBEsol-optimized structure of TlCoSi2, computed with meta-GGA SCAN.

- density (g cm⁻³) = 8.184

Cell: 2.8790 2.8790 7.8215 Å, 90.00 90.00 90.22°
Element x y z (fractional)
Co  0.5000  0.5000  0.0000
Tl  0.5000  0.5000  0.5000
Si  0.0000  0.0000  0.1676
Si  0.0000  0.0000  0.8324



*B*
A PBEsol-optimized structure of TlCoSi2, computed with meta-GGA SCAN.

- density (g cm⁻³) = 8.187

Cell: 3.3457 4.9248 4.9248 Å, 60.27 70.14 70.14°
Element x y z (fractional)
Co  0.7110  0.7890  0.7890
Si  0.2785  0.2215  0.2215
Si  0.0222  0.9778  0.9778
Tl  0.4883  0.5117  0.5117



*C*
A PBEsol-optimized structure of TlCoSi2, computed with meta-GGA SCAN.

- density (g cm⁻³) = 8.082

Cell: 2.9772 2.9772 7.4053 Å, 90.00 90.00 90.00°
Element x y z (fractional)
Co  0.5000  0.5000  0.8375
Tl  0.0000  0.0000  0.5349
Si  0.0000  0.0000  0.9597
Si  0.5000  0.5000  0.1680



According to the calculations, the structures order from most to least stable as *A*, *C*, *B*.



*A*
A PBEsol-optimized structure of SrTa2Co, computed with meta-GGA SCAN.

- density (g cm⁻³) = 11.380

Cell: 4.7165 4.7165 4.7165 Å, 60.00 60.00 60.00°
Element x y z (fractional)
Sr  0.2500  0.2500  0.2500
Co  0.5000  0.5000  0.5000
Ta  0.0000  0.0000  0.0000
Ta  0.7500  0.7500  0.7500



*B*
A PBEsol-optimized structure of SrTa2Co, computed with meta-GGA SCAN.

- density (g cm⁻³) = 10.464

Cell: 2.8770 3.5945 7.8109 Å, 90.00 92.63 90.00°
Element x y z (fractional)
Sr  0.5000  0.5000  0.5000
Ta  0.0724  0.0000  0.8387
Ta  0.9276  0.0000  0.1613
Co  0.5000  0.5000  0.0000



According to the calculations, the structures order from most to least stable as *B*, *A*.